1.
Density functional theory data (GGA-PBE) for a relaxed RbSiAu2Se4 crystal.

a = 6.8125 Å, b = 6.7291 Å, c = 6.7291 Å
α = 81.67°, β = 59.59°, γ = 59.59°
Last column: nearest neighbours and their distance in Å.
Positions (direct):
1 Si 0.0000 0.5000 0.5000  4 Se 2.31
2 Se 0.3754 0.1700 0.4664  1 Si 2.31, 1 Au 2.50
3 Se 0.6246 0.5336 0.8300  1 Si 2.31, 1 Au 2.50
4 Se 0.9881 0.4664 0.1700  1 Si 2.31, 1 Au 2.50
5 Se 0.0119 0.8300 0.5336  1 Si 2.31, 1 Au 2.50
6 Rb 0.0000 0.0000 0.0000  8 Se 3.44-3.64
7 Au 0.5000 0.6606 0.3394  2 Se 2.50
8 Au 0.5000 0.3394 0.6606  2 Se 2.50

Total DFT energy (no corrections) = -0.1399 Ha/atom

=====

2.
Density functional theory data (GGA-PBE) for a relaxed SrPPtO2 crystal.

a = 4.3318 Å, b = 4.3318 Å, c = 4.4677 Å
α = 90.00°, β = 90.00°, γ = 90.00°
Last column: nearest neighbours and their distance in Å.
Positions (direct):
1 Pt 0.0000 0.0000 0.0000  4 O 2.17, 2 P 2.23
2 P 0.0000 0.0000 0.5000  2 Pt 2.23
3 Sr 0.5000 0.5000 0.5000  4 P 3.06, 8 O 3.11
4 O 0.5000 0.0000 0.0000  2 Pt 2.17
5 O 0.0000 0.5000 0.0000  2 Pt 2.17

Energy above the lowest structure with this stoichiometry = 0.000 eV per atom

=====

3.
Density functional theory data (GGA-PBE) for a relaxed TlPbS4 crystal.

a = 9.4083 Å, b = 8.3693 Å, c = 6.8982 Å
α = 109.69°, β = 108.20°, γ = 122.61°
Last column: nearest neighbours and their distance in Å.
Positions (direct):
1 S 0.7289 0.7393 0.8073  1 S 1.98
2 S 0.5812 0.8518 0.3421  1 S 2.10
3 S 0.4187 0.1482 0.6579  1 S 2.10
4 S 0.7425 0.1690 0.3767  1 S 2.10
5 S 0.0379 0.1206 0.8478  1 S 1.98
6 S 0.2574 0.8310 0.6233  1 S 2.10
7 S 0.9621 0.8794 0.1522  1 S 1.98
8 S 0.2710 0.2607 0.1927  1 S 1.98
9 Tl 0.7625 0.5924 0.3346  6 S 3.09-3.40
10 Tl 0.2375 0.4076 0.6654  6 S 3.09-3.40
11 Pb 0.6936 0.0824 0.8553  5 S 2.85-3.10
12 Pb 0.3064 0.9176 0.1447  5 S 2.85-3.10

Total DFT energy (no corrections) = -0.1444 Ha/atom

=====

4.
Density functional theory data (GGA-PBE) for a relaxed ZnHgTe2 crystal.

a = 7.7517 Å, b = 3.9449 Å, c = 14.9029 Å
α = 90.00°, β = 90.00°, γ = 90.00°
Last column: nearest neighbours and their distance in Å.
Positions (direct):
1 Hg 0.8805 0.7500 0.4294  3 Te 2.78-2.89
2 Hg 0.1195 0.2500 0.5706  3 Te 2.78-2.89
3 Hg 0.3805 0.7500 0.0706  3 Te 2.78-2.89
4 Hg 0.6195 0.2500 0.9294  3 Te 2.78-2.89
5 Zn 0.7029 0.7500 0.6886  6 Te 2.92-3.20
6 Zn 0.2971 0.2500 0.3114  6 Te 2.92-3.20
7 Zn 0.2029 0.7500 0.8114  6 Te 2.92-3.20
8 Zn 0.7971 0.2500 0.1886  6 Te 2.92-3.20
9 Te 0.0370 0.7500 0.2614  1 Hg 2.78, 4 Zn 2.92
10 Te 0.4630 0.2500 0.7614  1 Hg 2.78, 4 Zn 2.92
11 Te 0.9630 0.2500 0.7386  1 Hg 2.78, 4 Zn 2.92
12 Te 0.5370 0.7500 0.2386  1 Hg 2.78, 4 Zn 2.92
13 Te 0.3290 0.7500 0.4797  2 Hg 2.89, 2 Zn 3.20
14 Te 0.8290 0.7500 0.0203  2 Hg 2.89, 2 Zn 3.20
15 Te 0.1710 0.2500 0.9797  2 Hg 2.89, 2 Zn 3.20
16 Te 0.6710 0.2500 0.5203  2 Hg 2.89, 2 Zn 3.20

Total DFT energy (no corrections) = -0.0715 Ha/atom

=====

5.
Density functional theory data (GGA-PBE) for a relaxed MnAl2Se crystal.

a = 2.8291 Å, b = 2.8291 Å, c = 8.0958 Å
α = 90.00°, β = 90.00°, γ = 89.99°
Last column: nearest neighbours and their distance in Å.
Positions (direct):
1 Mn 0.5000 0.5000 0.2500  8 Al 2.56, 4 Mn 2.83
2 Se 0.5000 0.5000 0.7500  4 Se 2.83
3 Al 0.0000 0.0000 0.0536  4 Mn 2.56, 4 Al 2.83
4 Al 0.0000 0.0000 0.4464  4 Mn 2.56, 4 Al 2.83

Total DFT energy (no corrections) = -0.1855 Ha/atom

=====

6.
Density functional theory data (GGA-PBE) for a relaxed LiDyU2Se4 crystal.

a = 3.9591 Å, b = 6.8371 Å, c = 7.2854 Å
α = 108.36°, β = 90.00°, γ = 90.00°
Last column: nearest neighbours and their distance in Å.
Positions (direct):
1 Se 0.0000 0.7388 0.2355  2 Li 2.79, 1 Dy 2.84, 3 U 2.89-2.94
2 Se 0.0000 0.2612 0.7645  2 Li 2.79, 1 Dy 2.84, 3 U 2.89-2.94
3 Se 0.5000 0.2547 0.2390  1 Li 2.77, 2 Dy 2.84, 3 U 2.89-2.96
4 Se 0.5000 0.7453 0.7610  1 Li 2.77, 2 Dy 2.84, 3 U 2.89-2.96
5 U 0.0000 0.5000 0.5000  6 Se 2.89
6 U 0.5000 0.0000 0.5000  6 Se 2.94-2.96
7 Dy 0.0000 0.0000 0.0000  6 Se 2.84
8 Li 0.5000 0.5000 0.0000  6 Se 2.77-2.79

Total DFT energy (no corrections) = -0.2451 Ha/atom